(1)
Y2TaCl | Alexandria | GGA-PBEsol | optimized geometry; symmetry = P2/m
1.0
3.3026 0.0000 0.0000
0.0000 3.2956 0.0208
0.0000 -0.0663 8.7498
Y Cl Ta
2 1 1
Direct
0.0000 0.9991 0.7626
0.0000 0.0009 0.2374
0.5000 0.0000 0.5000
0.5000 0.5000 0.0000

(2)
YTaCl2 | Alexandria | GGA-PBEsol | optimized geometry; symmetry = P4mm
1.0
3.1525 0.0000 0.0000
0.0000 3.1525 0.0000
0.0000 0.0000 8.5295
Y Cl Ta
1 2 1
Direct
0.5000 0.5000 0.7548
0.0000 0.0000 0.9563
0.5000 0.5000 0.3108
0.0000 0.0000 0.4781

(3)
YTaCl2 | Alexandria | GGA-PBEsol | optimized geometry; symmetry = Pmmm
1.0
-1.7589 2.0565 1.3376
0.8717 -1.8050 3.9213
4.7135 3.6270 0.6217
Y Cl Ta
1 2 1
Direct
0.0000 0.5000 0.5000
0.0000 0.0000 0.0000
0.5000 0.0000 0.5000
0.5000 0.5000 0.0000

(4)
TaZnCl2 | Alexandria | GGA-PBEsol | optimized geometry; symmetry = P4mm
1.0
3.0398 0.0000 0.0000
0.0000 3.0398 0.0000
0.0000 0.0000 7.7669
Zn Cl Ta
1 2 1
Direct
0.5000 0.5000 0.7459
0.0000 0.0000 0.9397
0.5000 0.5000 0.3117
0.0000 0.0000 0.5026

(5)
TaZn2Cl | Alexandria | GGA-PBEsol | optimized geometry; symmetry = Fm-3m
1.0
-3.6160 2.6522 -1.0941
-3.1484 1.0480 3.2087
-0.2824 4.3068 1.6363
Zn Cl Ta
2 1 1
Direct
0.2500 0.2500 0.2500
0.7500 0.7500 0.7500
0.0000 0.0000 0.0000
0.5000 0.5000 0.5000

(6)
TaZnCl2 | Alexandria | GGA-PBEsol | optimized geometry; symmetry = F-43m
1.0
4.6789 0.0000 0.0000
2.3395 4.0521 0.0000
2.3395 1.3507 3.8203
Zn Cl Ta
1 2 1
Direct
0.2500 0.2500 0.2500
0.0000 0.0000 0.0000
0.7500 0.7500 0.7500
0.5000 0.5000 0.5000

(7)
TaZnCl2 | Alexandria | GGA-PBEsol | optimized geometry; symmetry = P4/mmm
1.0
-0.6195 2.7332 -1.0156
0.6354 -0.8867 -2.7741
-8.4256 -2.3480 -1.1793
Zn Cl Ta
1 2 1
Direct
0.5000 0.5000 0.5000
0.0000 0.0000 0.8280
0.0000 0.0000 0.1720
0.5000 0.5000 0.0000

(8)
Zr3TaCl | Alexandria | GGA-PBEsol | optimized geometry; symmetry = Pm-3m
1.0
5.1108 0.0000 0.0000
0.0000 5.1108 0.0000
0.0000 0.0000 5.1108
Cl Zr Ta
1 3 1
Direct
0.5000 0.5000 0.5000
0.0000 0.5000 0.0000
0.0000 0.0000 0.5000
0.5000 0.0000 0.0000
0.0000 0.0000 0.0000

(9)
TbCl3 | Alexandria | GGA-PBEsol | optimized geometry; symmetry = P4_2/mnm
1.0
6.3898 0.0000 0.0000
0.0000 6.3898 0.0000
0.0000 0.0000 11.5628
Cl Tb
12 4
Direct
0.2920 0.2920 0.3309
0.7080 0.7080 0.3309
0.2080 0.7920 0.8309
0.7920 0.2080 0.8309
0.2080 0.7920 0.1691
0.7920 0.2080 0.1691
0.2920 0.2920 0.6691
0.7080 0.7080 0.6691
0.3085 0.3085 0.0000
0.6915 0.6915 0.0000
0.1915 0.8085 0.5000
0.8085 0.1915 0.5000
0.0000 0.0000 0.3280
0.5000 0.5000 0.8280
0.5000 0.5000 0.1720
0.0000 0.0000 0.6720

(10)
TbCl3 | Alexandria | GGA-PBEsol | optimized geometry; symmetry = Cmcm
1.0
3.7712 0.0000 0.0000
-1.8856 6.1757 0.0000
0.0000 0.0000 8.3785
Tb Cl
2 6
Direct
0.7589 0.5177 0.7500
0.2411 0.4823 0.2500
0.4086 0.8173 0.7500
0.5914 0.1827 0.2500
0.8472 0.6944 0.4333
0.1528 0.3056 0.9333
0.8472 0.6944 0.0667
0.1528 0.3056 0.5667

(11)
TbCl3 | Alexandria | GGA-PBEsol | optimized geometry; symmetry = P6_3/m
1.0
-1.1682 -0.9402 -3.6991
1.7140 -6.9877 1.2348
-6.7171 2.4312 1.5034
Tb Cl
2 6
Direct
0.7500 0.6667 0.3333
0.2500 0.3333 0.6667
0.7500 0.3019 0.3904
0.7500 0.0885 0.6981
0.7500 0.6096 0.9115
0.2500 0.6981 0.6096
0.2500 0.9115 0.3019
0.2500 0.3904 0.0885

(12)
Tc3Cl | Alexandria | GGA-PBEsol | optimized geometry; symmetry = P4/mmm
1.0
-0.7546 0.1424 2.7342
-2.4237 -1.3540 -0.5984
3.0659 -6.0000 1.1586
Tc Cl
3 1
Direct
0.5000 0.5000 0.2466
0.0000 0.0000 0.5000
0.5000 0.5000 0.7534
0.0000 0.0000 0.0000

(13)
TcCl5 | Alexandria | GGA-PBEsol | optimized geometry; symmetry = Amm2
1.0
3.3594 0.0000 0.0000
-1.6797 6.2845 0.0000
0.0000 0.0000 6.2139
Tc Cl
1 5
Direct
0.8622 0.7244 0.5000
0.0290 0.0579 0.0000
0.6911 0.3822 0.0000
0.3600 0.7201 0.0000
0.4941 0.9881 0.5000
0.2303 0.4606 0.5000

(14)
Tc3Cl | Alexandria | GGA-PBEsol | optimized geometry; symmetry = P4/mmm
1.0
2.8323 0.0000 0.0000
0.0000 4.4330 0.0000
0.0000 0.0000 4.4330
Tc Cl
3 1
Direct
0.5000 0.0000 0.5000
0.5000 0.5000 0.0000
0.0000 0.5000 0.5000
0.0000 0.0000 0.0000

(15)
Tc2Cl | Alexandria | GGA-PBEsol | optimized geometry; symmetry = Immm
1.0
-1.1336 -2.0444 1.6100
1.9471 -2.6257 -1.9632
2.5413 2.6603 2.6655
Tc Cl
2 1
Direct
0.6722 0.6722 0.3444
0.3278 0.3278 0.6556
0.0000 0.0000 0.0000

(16)
Tc3Cl | Alexandria | GGA-PBEsol | optimized geometry; symmetry = Imm2
1.0
2.8530 0.0000 0.0000
0.0000 4.2497 0.0000
-1.4265 -2.1248 4.6601
Tc Cl
3 1
Direct
0.5000 0.4300 0.0000
0.2082 0.9113 0.4164
0.7918 0.4949 0.5836
0.0000 0.9972 0.0000

(17)
TcTeCl | Alexandria | GGA-PBEsol | optimized geometry; symmetry = F-43m
1.0
-2.4479 -3.6151 -1.4530
2.0565 -3.3723 -2.3601
0.6137 -4.1252 1.9438
Te Tc Cl
1 1 1
Direct
0.2500 0.2500 0.2500
0.5000 0.5000 0.5000
0.0000 0.0000 0.0000

(18)
TcTeCl | Alexandria | GGA-PBEsol | optimized geometry; symmetry = P3m1
1.0
-0.9740 -0.9552 -3.0032
2.7954 -1.1908 1.2836
-3.5592 -5.2956 2.8386
Te Tc Cl
1 1 1
Direct
0.3333 0.6667 0.4135
0.6667 0.3333 0.6690
0.0000 0.0000 0.9175

(19)
TcTeCl3 | Alexandria | GGA-PBEsol | optimized geometry; symmetry = Pm-3m
1.0
-0.4681 -1.7643 -4.3828
-1.4972 -4.1219 1.8191
-4.4811 1.5614 -0.1500
Te Tc Cl
1 1 3
Direct
0.5000 0.5000 0.5000
0.0000 0.0000 0.0000
0.0000 0.5000 0.0000
0.0000 0.0000 0.5000
0.5000 0.0000 0.0000

(20)
TiTcCl3 | Alexandria | GGA-PBEsol | optimized geometry; symmetry = Pm-3m
1.0
4.7762 0.0000 0.0000
0.0000 4.7762 0.0000
0.0000 0.0000 4.7762
Cl Tc Ti
3 1 1
Direct
0.0000 0.5000 0.0000
0.0000 0.0000 0.5000
0.5000 0.0000 0.0000
0.5000 0.5000 0.5000
0.0000 0.0000 0.0000

(21)
TiTcCl3 | Alexandria | GGA-PBEsol | optimized geometry; symmetry = Pm-3m
1.0
4.7135 0.0000 0.0000
0.0000 4.7135 0.0000
0.0000 0.0000 4.7135
Cl Tc Ti
3 1 1
Direct
0.0000 0.5000 0.0000
0.0000 0.0000 0.5000
0.5000 0.0000 0.0000
0.0000 0.0000 0.0000
0.5000 0.5000 0.5000

(22)
TlTc2Cl | Alexandria | GGA-PBEsol | optimized geometry; symmetry = Amm2
1.0
-1.7168 -2.3353 0.6235
-0.3308 -0.5432 -2.9456
6.6987 -4.4912 1.6234
Tl Tc Cl
1 2 1
Direct
0.0000 0.4221 0.4685
0.0000 0.2030 0.0312
0.5000 0.7912 0.2071
0.5000 0.0836 0.7932

(23)
TlTc2Cl | Alexandria | GGA-PBEsol | optimized geometry; symmetry = Immm
1.0
-2.4389 -1.5125 -0.3589
1.5266 -1.3597 -4.6445
2.4219 -2.1351 4.1933
Tl Tc Cl
1 2 1
Direct
0.5000 0.0000 0.0000
0.7218 0.7218 0.4435
0.2782 0.2782 0.5565
0.0000 0.5000 0.0000

(24)
Tl2TcCl | Alexandria | GGA-PBEsol | optimized geometry; symmetry = P4/mmm
1.0
-3.0586 0.2713 0.2845
0.1891 -2.5599 4.4746
0.6297 4.4556 2.5224
Tl Tc Cl
2 1 1
Direct
0.8817 0.0000 0.5000
0.8817 0.5000 0.0000
0.3817 0.5000 0.5000
0.3818 0.0000 0.0000

(25)
Tl2TcCl | Alexandria | GGA-PBEsol | optimized geometry; symmetry = P2/m
1.0
-1.6753 1.8889 -2.0866
-2.6563 -1.8901 0.4217
-2.3180 4.6413 6.0627
Tl Tc Cl
2 1 1
Direct
0.0000 0.9985 0.7943
0.0000 0.0015 0.2057
0.5000 0.5000 0.0000
0.5000 0.0000 0.5000

(26)
TlTcCl | Alexandria | GGA-PBEsol | optimized geometry; symmetry = Fmm2
1.0
-1.9880 2.2041 0.3137
-1.9268 -0.0561 2.3826
3.9425 4.9734 4.2401
Tl Tc Cl
1 1 1
Direct
0.3180 0.0000 0.3640
0.6500 0.0000 0.7001
0.0320 0.0000 0.9359

(27)
Tc2WCl | Alexandria | GGA-PBEsol | optimized geometry; symmetry = Cm
1.0
-0.6640 -2.2366 -1.7634
3.1883 1.0779 -2.5678
3.3025 -1.7918 3.4541
Tc W Cl
2 1 1
Direct
0.0342 0.0274 0.0683
0.7560 0.2147 0.5121
0.4592 0.4781 0.9184
0.2506 0.7797 0.5013

(28)
Tc2WCl | Alexandria | GGA-PBEsol | optimized geometry; symmetry = Pm
1.0
-0.9358 2.3061 1.3226
-3.0160 -2.0935 1.5165
3.3607 -2.2876 3.5257
Tc W Cl
2 1 1
Direct
0.1189 0.0000 0.0059
0.7178 0.5000 0.2177
0.2903 0.0000 0.4976
0.3730 0.5000 0.7788

(29)
TcWCl2 | Alexandria | GGA-PBEsol | optimized geometry; symmetry = Immm
1.0
2.9584 0.0000 0.0000
0.0000 4.2827 0.0000
-1.4792 -2.1413 6.5832
Tc W Cl
1 1 2
Direct
0.5000 0.0000 0.0000
0.0000 0.5000 0.0000
0.6497 0.6497 0.2994
0.3503 0.3503 0.7006

no.,raw formation energy (eV per atom),M_tot (Bohr magnetons per cell)
1,-0.461,0.0
2,-0.802,0.0
3,-0.430,0.0
4,-0.282,0.7
5,0.886,0.0
6,0.715,2.8
7,-0.131,0.0
8,0.997,0.0
9,-2.242,0.0
10,-2.289,0.0
11,-2.292,0.1
12,0.319,0.0
13,0.107,3.6
14,0.708,0.0
15,0.689,0.0
16,0.442,0.0
17,1.042,1.8
18,-0.104,0.0
19,0.147,0.5
20,0.123,6.2
21,0.271,0.7
22,0.079,0.0
23,0.721,0.0
24,0.351,1.8
25,0.322,0.0
26,0.404,0.0
27,0.537,0.0
28,0.461,0.0
29,0.429,0.5